[1]
Computed, not measured: Ta2ReW after structural relaxation at the PBEsol level of DFT.

```
4
Lattice="-0.006 -2.834 1.453 4.530 -0.072 -0.122 -2.122 3.495 3.319" Properties=species:S:1:pos:R:3 pbc="T T T"
Re 2.265 -0.036 -0.061
W -0.003 -1.417 0.726
Ta 0.070 1.028 2.006
Ta 2.332 -0.439 2.644
```

Output
Space group: Immm
Calculated formation energy in meV/atom: -186

---

[2]
Computed, not measured: Ir3Os after structural relaxation at the PBEsol level of DFT.

```
8
Lattice="-1.119 -2.880 3.080 3.336 -2.960 -1.556 3.599 2.258 3.419" Properties=species:S:1:pos:R:3 pbc="T T T"
Ir 1.443 0.072 0.592
Os 2.345 -1.292 2.734
Ir 4.918 -2.223 2.799
Os 2.230 -1.979 -1.040
Ir 3.133 -3.343 1.102
Ir 0.570 -2.442 1.013
Ir 4.006 -0.829 0.681
Ir 3.256 1.210 2.315
```

Output
Space group: Pmmn
Calculated formation energy in meV/atom: 45

---

[3]
Computed, not measured: Zr2MoP2O12 after structural relaxation at the PBEsol level of DFT.

```
68
Lattice="-5.731 3.242 -6.460 -3.268 -8.673 -1.454 -8.743 1.839 8.680" Properties=species:S:1:pos:R:3 pbc="T T T"
O -12.573 -0.489 0.361
O -5.879 0.861 3.357
O -6.911 -7.209 -1.450
O -12.605 3.294 3.959
P -6.082 -1.156 -3.323
O -12.431 -1.623 3.033
O -10.187 -3.005 -3.775
Mo -9.478 -4.083 0.257
O -7.491 1.897 4.975
O -7.463 -6.012 -3.577
O -9.940 0.024 -3.746
Zr -4.697 1.023 1.688
O -11.381 3.671 -0.637
Zr -5.443 2.198 -3.646
O -11.863 -4.453 -2.590
O -15.072 -0.983 1.653
O -14.357 1.715 1.406
Zr -9.457 -1.545 -2.563
O -11.781 -3.938 3.756
O -6.492 -2.230 2.349
O -8.342 -4.661 -6.165
O -3.385 -5.307 -0.640
O -10.251 -5.489 -4.208
O -9.013 -3.105 -1.128
O -7.555 -0.587 4.541
O -11.771 1.318 2.652
P -11.661 -2.436 4.089
Mo -1.028 -2.049 -0.601
O -6.361 -7.262 1.403
O -5.137 -6.886 -3.193
O -12.245 -2.171 5.480
P -5.086 -2.383 1.763
O -10.183 -2.010 4.062
O -7.559 -1.582 -3.296
O -5.497 -1.421 -4.713
P -12.657 -1.208 -0.996
O -11.216 -4.341 0.206
O -10.279 2.421 4.344
O -2.670 -2.609 -0.886
O -5.962 0.346 -2.990
Mo -7.971 -3.382 -7.313
Zr -8.285 -2.047 3.330
O -9.058 -3.266 1.756
O -6.526 0.749 0.560
P -11.099 -4.242 -3.901
O -7.802 -3.615 4.512
O -8.729 -0.487 1.894
O -11.250 -1.362 -1.582
O -9.401 1.070 6.931
O -10.831 3.618 2.216
Zr -4.473 -3.612 -1.437
O -5.971 -4.910 -1.886
Zr -13.270 0.020 2.204
Zr -12.299 -5.790 4.413
P -6.364 -6.257 -2.527
Zr -13.045 -4.615 -0.921
O -5.169 -3.103 0.406
Mo -8.265 0.492 0.509
O -6.630 1.789 -5.412
O -8.625 -5.620 0.191
P -6.643 0.651 4.667
O -5.311 -1.969 -2.267
O -4.447 -0.991 1.581
O -8.684 -0.326 -0.990
O -11.113 -5.381 6.178
P -11.378 2.665 3.293
O -13.296 -2.601 -0.814
O -9.117 2.028 0.575
```

Output
Space group: Pbcn

---

[4]
Computed, not measured: MgCdAg2 after structural relaxation at the PBEsol level of DFT.

```
4
Lattice="-2.044 -3.932 -1.447 0.370 -1.316 -4.457 2.601 -3.700 -1.130" Properties=species:S:1:pos:R:3 pbc="T T T"
Mg 0.232 -2.237 -1.758
Ag 0.000 0.000 0.000
Ag 0.696 -6.711 -5.275
Cd 0.464 -4.474 -3.517
```

Output
Space group: F-43m
Calculated formation energy in meV/atom: -135

---

[5]
Computed, not measured: Ni2Se3 after structural relaxation at the PBEsol level of DFT.

```
5
Lattice="-1.094 1.958 2.667 -3.408 0.556 0.471 -1.914 -5.472 5.509" Properties=species:S:1:pos:R:3 pbc="T T T"
Se -1.644 -1.355 2.598
Ni -3.333 -3.381 5.669
Ni -3.083 0.424 2.978
Se 0.000 0.000 0.000
Se -4.772 -1.602 6.050
```

Output
Space group: R-3m

---

[6]
Computed, not measured: LiPb3 after structural relaxation at the PBEsol level of DFT.

```
4
Lattice="-3.858 2.108 -1.832 -2.576 -3.895 0.943 -1.081 1.755 4.295" Properties=species:S:1:pos:R:3 pbc="T T T"
Pb -3.217 -0.894 -0.444
Li 0.000 0.000 0.000
Pb -2.469 1.931 1.232
Pb -1.829 -1.070 2.619
```

Output
Space group: Pm-3m
Calculated formation energy in meV/atom: -135

---

[7]
Computed, not measured: KMn2P after structural relaxation at the PBEsol level of DFT.

```
4
Lattice="-1.582 -2.648 0.424 2.596 -2.202 -4.056 2.928 0.860 4.863" Properties=species:S:1:pos:R:3 pbc="T T T"
K 2.836 -1.801 -0.663
Mn 1.144 -2.205 1.929
P 3.085 -1.405 2.738
Mn 0.310 -0.141 0.275
```

Output
Space group: Imm2
Calculated formation energy in meV/atom: 731

---

[8]
Computed, not measured: AgHg2Os after structural relaxation at the PBEsol level of DFT.

```
4
Lattice="-1.169 1.646 3.516 -3.711 -1.554 -0.505 3.641 -3.581 0.549" Properties=species:S:1:pos:R:3 pbc="T T T"
Hg 0.016 -0.944 2.785
Hg 0.000 0.000 0.000
Os -2.440 0.046 1.505
Ag -1.255 -2.545 0.774
```

Output
Space group: I-4m2
E above lowest polymorph in meV per atom: 37
Calculated formation energy in meV/atom: 755

---

The records above give, respectively, E values of -13.246; -10.376; -8.818; -2.520; -5.033; -3.625; -5.881; -3.410 eV/atom.